Li4Co5SnO12 | PBE with a Hubbard U | optimized geometry

Computed properties:
Density: 5.0 Mg/m³
E_tot: -126.47 eV per cell
Crystal system: monoclinic

Geometry as POSCAR:
```
Li4Co5SnO12
1.0
-0.258 0.408 -4.973
2.980 -3.428 2.080
-6.451 -7.475 -1.103
O Co Sn Li
12 5 1 4
Cartesian
-3.726 -8.969 0.251 O
-2.008 -3.622 -1.048 O
-2.490 -6.051 -0.358 O
-4.674 -7.842 -2.119 O
0.946 -2.653 -1.877 O
-5.809 -6.501 -4.287 O
-1.238 -4.445 -3.638 O
-0.147 -5.736 -1.263 O
2.081 -3.994 0.291 O
-1.720 -6.873 -2.948 O
-3.581 -4.759 -2.733 O
-0.002 -1.526 -4.247 O
-2.946 -3.965 -4.356 Co
-1.864 -5.248 -1.998 Co
0.822 -0.871 -2.622 Co
-0.782 -6.530 0.360 Co
1.901 -2.149 -0.271 Co
0.000 0.000 0.000 Sn
-1.064 -2.524 -2.653 Li
0.014 -3.801 -0.304 Li
-3.743 -6.694 -3.691 Li
-2.664 -7.971 -1.343 Li
```